Below is a relaxed RbPmInS3 crystal, with properties calculated at the PBE level.

Properties
uncorrected formation energy = -1.22 eV/atom
crystal system = monoclinic

Geometry as CIF:
```
data_RbPmInS3
_cell_length_a 8.829
_cell_length_b 4.565
_cell_length_c 10.012
_cell_angle_alpha 90.00
_cell_angle_beta 106.98
_cell_angle_gamma 90.00
_space_group_name_H-M_alt 'P 1 21/m 1'
_space_group_IT_number 11
_space_group_name_Hall '-P 2yb'
loop_
_atom_site_label
_atom_site_type_symbol
_atom_site_fract_x
_atom_site_fract_y
_atom_site_fract_z
Rb1 Rb 0.209 0.250 0.226
Pm1 Pm 0.337 0.750 0.862
In1 In 0.114 0.250 0.594
S1 S 0.120 0.250 0.850
S2 S 0.228 0.750 0.550
S3 S 0.465 0.750 0.146
```